1.
! PBE LiNb2Ir, relaxed; values from VASP
! * total magnetization: 0.00 μB per atom
! * electronic total energy: -7.726 eV per atom
&SYSTEM
  ibrav = 0, nat = 16, ntyp = 3
/
ATOMIC_SPECIES
Li 6.94 Li.upf
Nb 92.91 Nb.upf
Ir 192.22 Ir.upf
CELL_PARAMETERS angstrom
6.3063 0.0000 0.0000
0.0000 6.3063 0.0000
0.0000 0.0000 6.3063
ATOMIC_POSITIONS crystal
Li 0.0000 0.0000 0.0000
Li 0.0000 0.5000 0.5000
Li 0.5000 0.0000 0.5000
Li 0.5000 0.5000 0.0000
Nb 0.0000 0.0000 0.5000
Nb 0.0000 0.5000 0.0000
Nb 0.2500 0.2500 0.7500
Nb 0.2500 0.7500 0.2500
Nb 0.5000 0.0000 0.0000
Nb 0.5000 0.5000 0.5000
Nb 0.7500 0.2500 0.2500
Nb 0.7500 0.7500 0.7500
Ir 0.2500 0.2500 0.2500
Ir 0.2500 0.7500 0.7500
Ir 0.7500 0.2500 0.7500
Ir 0.7500 0.7500 0.2500


2.
! PBE HfGaGe2, relaxed; values from VASP
! * total magnetization: 0.00 μB per atom
! * electronic total energy: -5.387 eV per atom
&SYSTEM
  ibrav = 0, nat = 16, ntyp = 3
/
ATOMIC_SPECIES
Hf 178.49 Hf.upf
Ga 69.72 Ga.upf
Ge 72.64 Ge.upf
CELL_PARAMETERS angstrom
6.7406 0.0000 0.0000
0.0000 6.7406 0.0000
0.0000 0.0000 6.7406
ATOMIC_POSITIONS crystal
Hf 0.0000 0.0000 0.0000
Hf 0.0000 0.5000 0.5000
Hf 0.5000 0.0000 0.5000
Hf 0.5000 0.5000 0.0000
Ga 0.2500 0.2500 0.7500
Ga 0.2500 0.7500 0.2500
Ga 0.7500 0.2500 0.2500
Ga 0.7500 0.7500 0.7500
Ge 0.0000 0.0000 0.5000
Ge 0.0000 0.5000 0.0000
Ge 0.2500 0.2500 0.2500
Ge 0.2500 0.7500 0.7500
Ge 0.5000 0.0000 0.0000
Ge 0.5000 0.5000 0.5000
Ge 0.7500 0.2500 0.7500
Ge 0.7500 0.7500 0.2500


3.
! PBE NaErAgTe3, relaxed; values from VASP
! * total magnetization: 0.00 μB per atom
! * electronic total energy: -3.839 eV per atom
&SYSTEM
  ibrav = 0, nat = 24, ntyp = 4
/
ATOMIC_SPECIES
Na 22.99 Na.upf
Er 167.26 Er.upf
Ag 107.87 Ag.upf
Te 127.60 Te.upf
CELL_PARAMETERS angstrom
11.2828 0.0000 0.0000
0.0000 4.1791 0.0000
0.0000 0.0000 14.9690
ATOMIC_POSITIONS crystal
Na 0.2262 0.2500 0.0192
Na 0.2738 0.7500 0.5192
Na 0.7262 0.2500 0.4808
Na 0.7738 0.7500 0.9808
Er 0.0186 0.7500 0.7458
Er 0.4814 0.2500 0.2458
Er 0.5186 0.7500 0.7542
Er 0.9814 0.2500 0.2542
Ag 0.2362 0.7500 0.2168
Ag 0.2638 0.2500 0.7168
Ag 0.7362 0.7500 0.2832
Ag 0.7638 0.2500 0.7832
Te 0.0343 0.7500 0.1110
Te 0.0706 0.2500 0.6028
Te 0.2325 0.2500 0.3420
Te 0.2675 0.7500 0.8420
Te 0.4294 0.7500 0.1028
Te 0.4657 0.2500 0.6110
Te 0.5343 0.7500 0.3890
Te 0.5706 0.2500 0.8972
Te 0.7325 0.2500 0.1580
Te 0.7675 0.7500 0.6580
Te 0.9294 0.7500 0.3972
Te 0.9657 0.2500 0.8890


4.
! PBE NdErAg2, relaxed; values from VASP
! * energy relative to the elements: -0.31 eV per atom
! * total magnetization: 0.03 μB per atom
! * electronic total energy: -4.052 eV per atom
&SYSTEM
  ibrav = 0, nat = 4, ntyp = 3
/
ATOMIC_SPECIES
Nd 144.24 Nd.upf
Er 167.26 Er.upf
Ag 107.87 Ag.upf
CELL_PARAMETERS angstrom
3.6202 0.0000 0.0000
0.0000 3.6202 0.0000
0.0000 0.0000 7.4979
ATOMIC_POSITIONS crystal
Nd 0.0000 0.0000 0.0000
Er 0.0000 0.0000 0.5000
Ag 0.5000 0.5000 0.2729
Ag 0.5000 0.5000 0.7271


5.
! PBE DyEr2Mg3In2Hg, relaxed; values from VASP
! * total magnetization: 0.00 μB per atom
! * electronic total energy: -3.086 eV per atom
&SYSTEM
  ibrav = 0, nat = 9, ntyp = 5
/
ATOMIC_SPECIES
Dy 162.50 Dy.upf
Er 167.26 Er.upf
Mg 24.30 Mg.upf
In 114.82 In.upf
Hg 200.59 Hg.upf
CELL_PARAMETERS angstrom
4.6019 0.0000 0.0000
0.0000 6.4928 3.7318
0.0000 -6.4928 3.7318
ATOMIC_POSITIONS crystal
Dy 0.0000 0.0000 0.0000
Er 0.0000 0.4224 0.8448
Er 0.0000 0.8448 0.4224
Mg 0.5000 0.1841 0.4228
Mg 0.5000 0.4228 0.1841
Mg 0.5000 0.6620 0.6620
In 0.5000 0.0897 0.7550
In 0.5000 0.7550 0.0897
Hg 0.0000 0.4248 0.4248


6.
! PBE Cs2GaCuBr6, relaxed; values from VASP
! * electronic total energy: -2.894 eV per atom
&SYSTEM
  ibrav = 0, nat = 10, ntyp = 4
/
ATOMIC_SPECIES
Cs 132.91 Cs.upf
Ga 69.72 Ga.upf
Cu 63.55 Cu.upf
Br 79.90 Br.upf
CELL_PARAMETERS angstrom
0.0000 5.3523 5.3523
5.3523 0.0000 5.3523
5.3523 5.3523 0.0000
ATOMIC_POSITIONS crystal
Cs 0.2500 0.2500 0.2500
Cs 0.7500 0.7500 0.7500
Ga 0.0000 0.0000 0.0000
Cu 0.5000 0.5000 0.5000
Br 0.2486 0.2486 0.7514
Br 0.2486 0.7514 0.2486
Br 0.2486 0.7514 0.7514
Br 0.7514 0.2486 0.2486
Br 0.7514 0.2486 0.7514
Br 0.7514 0.7514 0.2486


7.
! PBE SnHg6P4Cl6, relaxed; values from VASP
! * electronic total energy: -2.721 eV per atom
&SYSTEM
  ibrav = 0, nat = 68, ntyp = 4
/
ATOMIC_SPECIES
Sn 118.71 Sn.upf
Hg 200.59 Hg.upf
P 30.97 P.upf
Cl 35.45 Cl.upf
CELL_PARAMETERS angstrom
12.0846 0.0000 0.0000
0.0000 12.0846 0.0000
0.0000 0.0000 12.0846
ATOMIC_POSITIONS crystal
Sn 0.2247 0.2247 0.2247
Sn 0.2753 0.7753 0.7247
Sn 0.7247 0.2753 0.7753
Sn 0.7753 0.7247 0.2753
Hg 0.0168 0.2382 0.5290
Hg 0.0247 0.7357 0.4626
Hg 0.0290 0.4832 0.7618
Hg 0.0374 0.9753 0.2357
Hg 0.2357 0.0374 0.9753
Hg 0.2382 0.5290 0.0168
Hg 0.2618 0.4710 0.5168
Hg 0.2643 0.9626 0.4753
Hg 0.4626 0.0247 0.7357
Hg 0.4710 0.5168 0.2618
Hg 0.4753 0.2643 0.9626
Hg 0.4832 0.7618 0.0290
Hg 0.5168 0.2618 0.4710
Hg 0.5247 0.7643 0.5374
Hg 0.5290 0.0168 0.2382
Hg 0.5374 0.5247 0.7643
Hg 0.7357 0.4626 0.0247
Hg 0.7382 0.9710 0.9832
Hg 0.7618 0.0290 0.4832
Hg 0.7643 0.5374 0.5247
Hg 0.9626 0.4753 0.2643
Hg 0.9710 0.9832 0.7382
Hg 0.9753 0.2357 0.0374
Hg 0.9832 0.7382 0.9710
P 0.0405 0.0405 0.0405
P 0.0412 0.5412 0.9588
P 0.0637 0.9363 0.4363
P 0.0650 0.4350 0.5650
P 0.4350 0.5650 0.0650
P 0.4363 0.0637 0.9363
P 0.4588 0.4588 0.4588
P 0.4595 0.9595 0.5405
P 0.5405 0.4595 0.9595
P 0.5412 0.9588 0.0412
P 0.5637 0.5637 0.5637
P 0.5650 0.0650 0.4350
P 0.9350 0.9350 0.9350
P 0.9363 0.4363 0.0637
P 0.9588 0.0412 0.5412
P 0.9595 0.5405 0.4595
Cl 0.0287 0.7344 0.2026
Cl 0.0594 0.7426 0.7081
Cl 0.2026 0.0287 0.7344
Cl 0.2081 0.4406 0.2574
Cl 0.2344 0.2974 0.9713
Cl 0.2426 0.7919 0.9406
Cl 0.2574 0.2081 0.4406
Cl 0.2656 0.7026 0.4713
Cl 0.2919 0.5594 0.7574
Cl 0.2974 0.9713 0.2344
Cl 0.4406 0.2574 0.2081
Cl 0.4713 0.2656 0.7026
Cl 0.5287 0.7656 0.7974
Cl 0.5594 0.7574 0.2919
Cl 0.7026 0.4713 0.2656
Cl 0.7081 0.0594 0.7426
Cl 0.7344 0.2026 0.0287
Cl 0.7426 0.7081 0.0594
Cl 0.7574 0.2919 0.5594
Cl 0.7656 0.7974 0.5287
Cl 0.7919 0.9406 0.2426
Cl 0.7974 0.5287 0.7656
Cl 0.9406 0.2426 0.7919
Cl 0.9713 0.2344 0.2974


8.
! PBE ZnPdO3, relaxed; values from VASP
! * electronic total energy: -4.913 eV per atom
&SYSTEM
  ibrav = 0, nat = 20, ntyp = 3
/
ATOMIC_SPECIES
Zn 65.41 Zn.upf
Pd 106.42 Pd.upf
O 16.00 O.upf
CELL_PARAMETERS angstrom
5.1157 0.0000 0.0000
0.0000 7.7097 0.0000
-5.0713 0.0000 5.4425
ATOMIC_POSITIONS crystal
Zn 0.0446 0.0000 0.2515
Zn 0.0446 0.5000 0.7515
Zn 0.9554 0.0000 0.7485
Zn 0.9554 0.5000 0.2485
Pd 0.4985 0.2496 0.2488
Pd 0.4985 0.2504 0.7488
Pd 0.5015 0.7496 0.2512
Pd 0.5015 0.7504 0.7512
O 0.0022 0.6599 0.5013
O 0.0022 0.8401 0.0013
O 0.3368 0.0002 0.7493
O 0.3368 0.4998 0.2493
O 0.4983 0.1589 0.4989
O 0.4983 0.3411 0.9989
O 0.5017 0.6589 0.0011
O 0.5017 0.8411 0.5011
O 0.6632 0.9998 0.2507
O 0.6632 0.5002 0.7507
O 0.9978 0.1599 0.9987
O 0.9978 0.3401 0.4987


9.
! PBE Na2AgOsO6, relaxed; values from VASP
! * total magnetization: 0.00 μB per atom
! * electronic total energy: -5.505 eV per atom
&SYSTEM
  ibrav = 0, nat = 10, ntyp = 4
/
ATOMIC_SPECIES
Na 22.99 Na.upf
Ag 107.87 Ag.upf
Os 190.23 Os.upf
O 16.00 O.upf
CELL_PARAMETERS angstrom
0.0000 4.0087 4.0087
4.0087 0.0000 4.0087
4.0087 4.0087 0.0000
ATOMIC_POSITIONS crystal
Na 0.2500 0.2500 0.2500
Na 0.7500 0.7500 0.7500
Ag 0.0000 0.0000 0.0000
Os 0.5000 0.5000 0.5000
O 0.2689 0.2689 0.7311
O 0.2689 0.7311 0.2689
O 0.2689 0.7311 0.7311
O 0.7311 0.2689 0.2689
O 0.7311 0.2689 0.7311
O 0.7311 0.7311 0.2689


10.
! PBE DyFeIr, relaxed; values from VASP
! * energy relative to the elements: -0.03 eV per atom
! * total magnetization: 1.17 μB per atom
! * electronic total energy: -7.282 eV per atom
&SYSTEM
  ibrav = 0, nat = 12, ntyp = 3
/
ATOMIC_SPECIES
Dy 162.50 Dy.upf
Fe 55.84 Fe.upf
Ir 192.22 Ir.upf
CELL_PARAMETERS angstrom
6.3366 0.0000 0.0000
0.0000 6.3366 0.0000
0.0000 0.0000 6.3366
ATOMIC_POSITIONS crystal
Dy 0.0000 0.0000 0.0000
Dy 0.0000 0.5000 0.5000
Dy 0.5000 0.0000 0.5000
Dy 0.5000 0.5000 0.0000
Fe 0.0000 0.0000 0.5000
Fe 0.0000 0.5000 0.0000
Fe 0.5000 0.0000 0.0000
Fe 0.5000 0.5000 0.5000
Ir 0.2500 0.2500 0.7500
Ir 0.2500 0.7500 0.2500
Ir 0.7500 0.2500 0.2500
Ir 0.7500 0.7500 0.7500


11.
! PBE RbSmNO, relaxed; values from VASP
! * total magnetization: 0.25 μB per atom
! * electronic total energy: -5.905 eV per atom
! * distance to the lowest polymorph of the same formula: 0.006 eV/atom
&SYSTEM
  ibrav = 0, nat = 8, ntyp = 4
/
ATOMIC_SPECIES
Rb 85.47 Rb.upf
Sm 150.36 Sm.upf
N 14.01 N.upf
O 16.00 O.upf
CELL_PARAMETERS angstrom
4.0643 0.0000 0.0000
0.0000 7.5846 0.0000
0.0000 0.0000 6.3998
ATOMIC_POSITIONS crystal
Rb 0.0000 0.1697 0.0000
Rb 0.0000 0.8303 0.5000
Sm 0.5000 0.3491 0.5282
Sm 0.5000 0.6509 0.0282
N 0.0000 0.2090 0.4633
N 0.0000 0.7910 0.9633
O 0.5000 0.3964 0.8666
O 0.5000 0.6036 0.3666


12.
! PBE InAsIrO, relaxed; values from VASP
! * total magnetization: 0.00 μB per atom
! * electronic total energy: -5.434 eV per atom
! * distance to the lowest polymorph of the same formula: 0.447 eV/atom
&SYSTEM
  ibrav = 0, nat = 8, ntyp = 4
/
ATOMIC_SPECIES
In 114.82 In.upf
As 74.92 As.upf
Ir 192.22 Ir.upf
O 16.00 O.upf
CELL_PARAMETERS angstrom
4.1104 0.0000 0.0000
0.0000 5.9303 0.0000
0.0000 0.0000 6.0549
ATOMIC_POSITIONS crystal
In 0.0000 0.1845 0.0000
In 0.0000 0.8155 0.5000
As 0.5000 0.3676 0.7628
As 0.5000 0.6324 0.2628
Ir 0.5000 0.2455 0.3822
Ir 0.5000 0.7545 0.8822
O 0.0000 0.1647 0.3681
O 0.0000 0.8353 0.8681